(1)
A relaxed KTaSi2 crystal. Source: the Alexandria database, functional PBE-GGA.

Computed properties:
Spin magnetization: 0.000 μB per formula unit
Distance to the lowest polymorph of the same formula: 0.590 eV per formula unit
Calculated volume: 24.52 Å³/atom

a = 8.463 Å, b = 8.463 Å, c = 8.463 Å
α = 160.69°, β = 150.67°, γ = 35.35°
Fractional positions:
K 0.000 0.000 0.000
Ta 0.776 0.276 0.500
Si 0.311 0.811 0.500
Si 0.640 0.640 0.000

***

(2)
A relaxed KTa2Si2 crystal. Source: the Alexandria database, functional PBE-GGA.

Computed properties:
Spin magnetization: 0.000 μB per formula unit
Distance to the lowest polymorph of the same formula: 0.000 eV per formula unit
Calculated volume: 18.78 Å³/atom

a = 8.231 Å, b = 8.231 Å, c = 2.772 Å
α = 90.00°, β = 90.00°, γ = 90.00°
Fractional positions:
K 0.000 0.000 0.000
K 0.500 0.500 0.000
Ta 0.118 0.382 0.000
Ta 0.382 0.882 0.000
Ta 0.618 0.118 0.000
Ta 0.882 0.618 0.000
Si 0.169 0.669 0.500
Si 0.331 0.169 0.500
Si 0.669 0.831 0.500
Si 0.831 0.331 0.500

***

(3)
A relaxed KTaSi2 crystal. Source: the Alexandria database, functional PBE-GGA.

Computed properties:
Spin magnetization: 0.000 μB per formula unit
Distance to the lowest polymorph of the same formula: 0.102 eV per formula unit
Calculated volume: 19.41 Å³/atom

a = 2.903 Å, b = 2.903 Å, c = 9.217 Å
α = 90.00°, β = 90.00°, γ = 90.00°
Fractional positions:
K 0.000 0.000 0.000
Ta 0.000 0.000 0.500
Si 0.500 0.500 0.291
Si 0.500 0.500 0.709

***

(4)
A relaxed KTaSi2 crystal. Source: the Alexandria database, functional PBE-GGA.

Computed properties:
Spin magnetization: 0.000 μB per formula unit
Distance to the lowest polymorph of the same formula: 3.496 eV per formula unit
Calculated volume: 19.19 Å³/atom

a = 5.494 Å, b = 5.494 Å, c = 5.494 Å
α = 136.80°, β = 136.80°, γ = 62.75°
Fractional positions:
K 0.000 0.000 0.000
Ta 0.750 0.250 0.500
Si 0.250 0.750 0.500
Si 0.500 0.500 0.000

***

(5)
A relaxed KTaSi2 crystal. Source: the Alexandria database, functional PBE-GGA.

Computed properties:
Spin magnetization: 0.004 μB per formula unit
Distance to the lowest polymorph of the same formula: 0.000 eV per formula unit
Calculated volume: 21.39 Å³/atom

a = 3.137 Å, b = 3.688 Å, c = 7.396 Å
α = 90.00°, β = 90.00°, γ = 90.00°
Fractional positions:
K 0.000 0.000 0.000
Ta 0.000 0.000 0.500
Si 0.500 0.500 0.336
Si 0.500 0.500 0.664

***

(6)
A relaxed KTaSi2 crystal. Source: the Alexandria database, functional PBE-GGA.

Computed properties:
Spin magnetization: 0.417 μB per formula unit
Distance to the lowest polymorph of the same formula: 0.444 eV per formula unit
Calculated volume: 25.12 Å³/atom

a = 4.651 Å, b = 4.651 Å, c = 7.757 Å
α = 114.76°, β = 114.76°, γ = 42.08°
Fractional positions:
K 0.000 0.000 0.000
Ta 0.219 0.219 0.518
Si 0.556 0.556 0.637
Si 0.883 0.883 0.398

***

(7)
A relaxed KTaSi2 crystal. Source: the Alexandria database, functional PBE-GGA.

Computed properties:
Spin magnetization: 0.000 μB per formula unit
Distance to the lowest polymorph of the same formula: 1.976 eV per formula unit
Calculated volume: 32.49 Å³/atom

a = 9.038 Å, b = 9.038 Å, c = 9.038 Å
α = 143.48°, β = 143.48°, γ = 52.61°
Fractional positions:
K 0.000 0.000 0.000
K 0.750 0.250 0.500
Ta 0.250 0.750 0.500
Ta 0.500 0.500 0.000
Si 0.374 0.625 0.249
Si 0.375 0.624 0.749
Si 0.376 0.125 0.751
Si 0.875 0.626 0.251

***

(8)
A relaxed KTaSi3 crystal. Source: the Alexandria database, functional PBE-GGA.

Computed properties:
Spin magnetization: 0.002 μB per formula unit
Distance to the lowest polymorph of the same formula: 11.470 eV per formula unit
Calculated volume: 22.25 Å³/atom

a = 4.810 Å, b = 4.810 Å, c = 4.810 Å
α = 90.00°, β = 90.00°, γ = 90.00°
Fractional positions:
K 0.000 0.000 0.000
Ta 0.500 0.500 0.500
Si 0.000 0.000 0.500
Si 0.000 0.500 0.000
Si 0.500 0.000 0.000

***

(9)
A relaxed KTaSi2 crystal. Source: the Alexandria database, functional PBE-GGA.

Computed properties:
Spin magnetization: 0.000 μB per formula unit
Distance to the lowest polymorph of the same formula: 1.339 eV per formula unit
Calculated volume: 25.67 Å³/atom

a = 2.864 Å, b = 4.356 Å, c = 8.231 Å
α = 90.00°, β = 90.00°, γ = 90.00°
Fractional positions:
K 0.000 0.000 0.000
Ta 0.500 0.500 0.573
Si 0.000 0.000 0.599
Si 0.500 0.500 0.274

***

(10)
A relaxed KTaSi2 crystal. Source: the Alexandria database, functional PBE-GGA.

Computed properties:
Spin magnetization: 0.000 μB per formula unit
Distance to the lowest polymorph of the same formula: 0.035 eV per formula unit
Calculated volume: 19.54 Å³/atom

a = 2.926 Å, b = 2.926 Å, c = 9.235 Å
α = 90.00°, β = 90.00°, γ = 98.68°
Fractional positions:
K 0.000 0.000 0.000
Ta 0.000 0.000 0.500
Si 0.500 0.500 0.293
Si 0.500 0.500 0.707

***

(11)
A relaxed KZr2TaSi crystal. Source: the Alexandria database, functional PBE-GGA.

Computed properties:
Spin magnetization: 0.001 μB per formula unit
Calculated volume: 21.21 Å³/atom

a = 4.746 Å, b = 4.746 Å, c = 4.708 Å
α = 90.00°, β = 90.00°, γ = 90.00°
Fractional positions:
K 0.000 0.000 0.000
Zr 0.000 0.500 0.000
Zr 0.500 0.000 0.000
Ta 0.000 0.000 0.500
Si 0.500 0.500 0.500

***

(12)
A relaxed KSi2Tc crystal. Source: the Alexandria database, functional PBE-GGA.

Computed properties:
Spin magnetization: 0.000 μB per formula unit
Distance to the lowest polymorph of the same formula: 2.318 eV per formula unit
Calculated volume: 22.54 Å³/atom

a = 6.333 Å, b = 6.333 Å, c = 6.333 Å
α = 155.78°, β = 119.29°, γ = 66.35°
Fractional positions:
K 0.000 0.000 0.000
Si 0.306 0.806 0.500
Si 0.694 0.194 0.500
Tc 0.500 0.500 0.000

***

Quick rundown of energy relative to the elements, uncorrected, same order as above: 220; 108; 98; 947; 73; 184; 567; 2547; 407; 81; 2337; 518 meV per atom